--- a ---
Below is a geometry-optimized TbTm2Ir structure, with properties calculated at the PBE level.

Results
Spin magnetization = 0.00 μB per formula unit
Density of states at the Fermi level = 0.944 states/eV per atom
SG = Pnma (62)

abc: 6.3564 7.2103 9.1164
angles: 90.00 90.00 90.00
Atoms (fractional coordinates):
Tm 0.6718 0.8239 0.9374
Tm 0.8282 0.3239 0.5626
Tm 0.3282 0.1761 0.4374
Tm 0.6718 0.8239 0.5626
Tm 0.1718 0.6761 0.4374
Tm 0.3282 0.1761 0.0626
Tm 0.8282 0.3239 0.9374
Tm 0.1718 0.6761 0.0626
Ir 0.4508 0.8831 0.2500
Ir 0.9508 0.6169 0.7500
Ir 0.5492 0.1169 0.7500
Ir 0.0492 0.3831 0.2500
Tb 0.6283 0.5328 0.2500
Tb 0.1283 0.9672 0.7500
Tb 0.3717 0.4672 0.7500
Tb 0.8717 0.0328 0.2500

=====

--- b ---
Below is a geometry-optimized TbTm2Ir structure, with properties calculated at the PBE level.

Results
Spin magnetization = 0.00 μB per formula unit
Density of states at the Fermi level = 1.242 states/eV per atom
SG = P4/mmm (123)

abc: 3.4328 3.4328 8.7326
angles: 90.00 90.00 90.00
Atoms (fractional coordinates):
Tb 0.5000 0.5000 0.5000
Tm 0.0000 0.0000 0.8143
Tm 0.0000 0.0000 0.1857
Ir 0.5000 0.5000 0.0000

=====

Least stable structure: b

=====

--- a ---
Below is a geometry-optimized TbTm2Ir structure, with properties calculated at the PBE level.

Results
Spin magnetization = 0.00 μB per formula unit
Density of states at the Fermi level = 1.105 states/eV per atom
SG = Cmcm (63)

abc: 3.8710 6.3142 8.9753
angles: 90.00 90.00 107.86
Atoms (fractional coordinates):
Tm 0.1429 0.2860 0.0660
Tm 0.8571 0.7140 0.9340
Tm 0.8571 0.7140 0.5660
Tm 0.1429 0.2860 0.4340
Tb 0.4281 0.8563 0.2500
Tb 0.5719 0.1437 0.7500
Ir 0.2477 0.4952 0.7500
Ir 0.7523 0.5048 0.2500

=====

--- b ---
Below is a geometry-optimized TbTm2Ir structure, with properties calculated at the PBE level.

Results
Spin magnetization = 0.00 μB per formula unit
Density of states at the Fermi level = 1.257 states/eV per atom
SG = R-3m (166)

abc: 3.7024 3.7024 10.6362
angles: 79.98 79.98 60.00
Atoms (fractional coordinates):
Tm 0.8865 0.8865 0.3406
Tm 0.1135 0.1135 0.6594
Tb 0.0000 0.0000 0.0000
Ir 0.5000 0.5000 0.5000

=====

Least stable structure: b

=====

--- a ---
Below is a geometry-optimized TbTmIr structure, with properties calculated at the PBE level.

Results
Spin magnetization = 0.00 μB per formula unit
Density of states at the Fermi level = 1.095 states/eV per atom
SG = I4mm (107)

abc: 3.4551 3.4551 6.7739
angles: 104.78 104.78 90.00
Atoms (fractional coordinates):
Tb 0.0374 0.0374 0.0748
Tm 0.2937 0.2937 0.5873
Ir 0.6690 0.6690 0.3379

=====

--- b ---
Below is a geometry-optimized TbTmIr structure, with properties calculated at the PBE level.

Results
Spin magnetization = 0.00 μB per formula unit
Density of states at the Fermi level = 1.100 states/eV per atom
SG = Ima2 (46)

abc: 7.4002 9.0240 8.6749
angles: 121.34 115.25 90.00
Atoms (fractional coordinates):
Tm 0.0121 0.5000 0.0000
Tm 0.4947 0.3712 0.7416
Tm 0.4947 0.8704 0.7416
Tm 0.7531 0.6288 0.2584
Tm 0.7531 0.1296 0.2584
Tm 0.0121 0.0000 0.0000
Tb 0.3429 0.7504 0.0007
Tb 0.7540 0.5448 0.5896
Tb 0.3422 0.2496 0.9993
Tb 0.7532 0.0445 0.5890
Tb 0.1644 0.4552 0.4104
Tb 0.1642 0.9555 0.4110
Ir 0.0863 0.3337 0.6663
Ir 0.4199 0.1674 0.3337
Ir 0.7536 0.7504 0.0008
Ir 0.4199 0.6663 0.3337
Ir 0.7528 0.2496 0.9992
Ir 0.0863 0.8326 0.6663

=====

--- c ---
Below is a geometry-optimized TbTmIr structure, with properties calculated at the PBE level.

Results
Spin magnetization = 0.00 μB per formula unit
Density of states at the Fermi level = 0.678 states/eV per atom
SG = P3m1 (156)

abc: 6.0909 4.0892 4.0892
angles: 120.00 90.00 90.00
Atoms (fractional coordinates):
Ir 0.3293 0.3333 0.6667
Tm 0.1047 0.0000 0.0000
Tb 0.5660 0.6667 0.3333

=====

Least stable structure: c

=====

--- a ---
Below is a geometry-optimized Tb2TmIr structure, with properties calculated at the PBE level.

Results
Spin magnetization = 0.00 μB per formula unit
Density of states at the Fermi level = 1.049 states/eV per atom
SG = Pnma (62)

abc: 6.3529 7.2036 9.3400
angles: 90.00 90.00 90.00
Atoms (fractional coordinates):
Tm 0.8657 0.0355 0.2500
Tm 0.1343 0.9645 0.7500
Tm 0.6343 0.5355 0.2500
Tm 0.3657 0.4645 0.7500
Ir 0.5419 0.1161 0.7500
Ir 0.4581 0.8839 0.2500
Ir 0.9581 0.6161 0.7500
Ir 0.0419 0.3839 0.2500
Tb 0.3247 0.1786 0.0627
Tb 0.3247 0.1786 0.4373
Tb 0.1753 0.6786 0.0627
Tb 0.6753 0.8214 0.5627
Tb 0.1753 0.6786 0.4373
Tb 0.8247 0.3214 0.5627
Tb 0.6753 0.8214 0.9373
Tb 0.8247 0.3214 0.9373

=====

--- b ---
Below is a geometry-optimized Tb2TmIr structure, with properties calculated at the PBE level.

Results
Spin magnetization = 0.56 μB per formula unit
Density of states at the Fermi level = 1.331 states/eV per atom
SG = P4/mmm (123)

abc: 3.5167 3.5167 8.6311
angles: 90.00 90.00 90.00
Each line ends with the local moment (μB).
Atoms (fractional coordinates):
Ir 0.5000 0.5000 0.0000  0.04
Tb 0.0000 0.0000 0.8122  0.06
Tb 0.0000 0.0000 0.1878  0.06
Tm 0.5000 0.5000 0.5000  0.26

=====

--- c ---
Below is a geometry-optimized Tb2TmIr structure, with properties calculated at the PBE level.

Results
Spin magnetization = 0.90 μB per formula unit
Density of states at the Fermi level = 1.169 states/eV per atom
SG = R-3m (166)

abc: 3.8402 3.8402 9.5711
angles: 78.43 78.43 60.00
Each line ends with the local moment (μB).
Atoms (fractional coordinates):
Tb 0.7256 0.7256 0.8231  0.08
Tb 0.2744 0.2744 0.1769  0.08
Tm 0.5000 0.5000 0.5000  0.39
Ir 0.0000 0.0000 0.0000  0.02

=====

Least stable structure: c

=====

--- a ---
Below is a geometry-optimized Tb3TmIr structure, with properties calculated at the PBE level.

Results
Spin magnetization = 0.00 μB per formula unit
Density of states at the Fermi level = 1.175 states/eV per atom
SG = Pmn2_1 (31)

abc: 6.1734 6.5230 7.6354
angles: 90.00 90.00 90.00
Atoms (fractional coordinates):
Tm 0.9295 0.0209 0.2007
Tm 0.4295 0.3318 0.7008
Ir 0.1762 0.6730 0.7008
Ir 0.6762 0.6798 0.2008
Tb 0.9227 0.0238 0.7007
Tb 0.4249 0.8654 0.9500
Tb 0.9249 0.4874 0.9515
Tb 0.4227 0.3290 0.2008
Tb 0.9248 0.4874 0.4501
Tb 0.4248 0.8654 0.4515

=====

--- b ---
Below is a geometry-optimized Tb3TmIr structure, with properties calculated at the PBE level.

Results
Spin magnetization = 0.00 μB per formula unit
Density of states at the Fermi level = 1.474 states/eV per atom
SG = Pm-3m (221)

abc: 5.4418 5.4418 5.4418
angles: 90.00 90.00 90.00
Atoms (fractional coordinates):
Ir 0.0000 0.0000 0.0000
Tb 0.5000 0.0000 0.0000
Tb 0.0000 0.0000 0.5000
Tb 0.0000 0.5000 0.0000
Tm 0.5000 0.5000 0.5000

=====

Least stable structure: b

=====

--- a ---
Below is a geometry-optimized TbVIr structure, with properties calculated at the PBE level.

Results
Spin magnetization = 0.00 μB per formula unit
Density of states at the Fermi level = 1.014 states/eV per atom
SG = P2_1/c (14)

abc: 5.6287 5.8070 7.7733
angles: 68.72 90.00 90.00
Atoms (fractional coordinates):
Tb 0.6160 0.3109 0.3769
Tb 0.8840 0.8109 0.8769
Tb 0.1160 0.1891 0.1231
Tb 0.3840 0.6891 0.6231
Ir 0.6210 0.3097 0.9706
Ir 0.8790 0.8097 0.4706
Ir 0.1210 0.1903 0.5294
Ir 0.3790 0.6903 0.0294
V 0.1096 0.6139 0.3011
V 0.6096 0.8861 0.1989
V 0.3904 0.1139 0.8011
V 0.8904 0.3861 0.6989

=====

--- b ---
Below is a geometry-optimized TbVIr structure, with properties calculated at the PBE level.

Results
Spin magnetization = 0.00 μB per formula unit
Density of states at the Fermi level = 1.103 states/eV per atom
SG = P3m1 (156)

abc: 4.3357 4.1071 4.1071
angles: 120.00 90.00 90.00
Atoms (fractional coordinates):
Tb 0.6613 0.6667 0.3333
V 0.1534 0.0000 0.0000
Ir 0.1854 0.3333 0.6667

=====

Least stable structure: b

=====

--- a ---
Below is a geometry-optimized Tb2YIr structure, with properties calculated at the PBE level.

Results
Spin magnetization = 0.00 μB per formula unit
Density of states at the Fermi level = 1.133 states/eV per atom
SG = Cmcm (63)

abc: 3.9225 6.3381 9.1487
angles: 90.00 90.00 108.01
Atoms (fractional coordinates):
Tb 0.8585 0.7169 0.5662
Tb 0.8585 0.7169 0.9338
Tb 0.1415 0.2831 0.4338
Tb 0.1415 0.2831 0.0662
Y 0.4265 0.8528 0.2500
Y 0.5735 0.1472 0.7500
Ir 0.7503 0.5006 0.2500
Ir 0.2497 0.4994 0.7500

=====

--- b ---
Below is a geometry-optimized Tb2YIr structure, with properties calculated at the PBE level.

Results
Spin magnetization = 0.78 μB per formula unit
Density of states at the Fermi level = 1.280 states/eV per atom
SG = R-3m (166)

abc: 3.7611 3.7611 10.7190
angles: 79.90 79.90 60.00
Each line ends with the local moment (μB).
Atoms (fractional coordinates):
Ir 0.5000 0.5000 0.5000  0.01
Tb 0.1133 0.1133 0.6602  0.05
Tb 0.8867 0.8867 0.3398  0.05
Y 0.0000 0.0000 0.0000  0.27

=====

Least stable structure: b

=====

--- a ---
Below is a geometry-optimized Tb2YIr2 structure, with properties calculated at the PBE level.

Results
Spin magnetization = 0.00 μB per formula unit
Density of states at the Fermi level = 0.660 states/eV per atom
SG = P-3m1 (164)

abc: 4.7935 4.7935 6.0301
angles: 89.99 89.99 60.01
Atoms (fractional coordinates):
Ir 0.1667 0.6667 0.8292
Ir 0.8333 0.3333 0.1708
Y 0.5000 0.0000 0.0000
Tb 0.1667 0.6667 0.3355
Tb 0.8333 0.3333 0.6645

=====

--- b ---
Below is a geometry-optimized Tb2YIr2 structure, with properties calculated at the PBE level.

Results
Spin magnetization = 0.00 μB per formula unit
Density of states at the Fermi level = 0.558 states/eV per atom
SG = P2_1/m (11)

abc: 4.3750 5.5540 11.2955
angles: 113.24 90.00 90.00
Atoms (fractional coordinates):
Tb 0.2500 0.2799 0.5314
Tb 0.7500 0.7201 0.4686
Tb 0.7500 0.2278 0.1192
Tb 0.2500 0.7722 0.8808
Y 0.2500 0.8103 0.2073
Y 0.7500 0.1897 0.7927
Ir 0.2500 0.3185 0.9763
Ir 0.2500 0.8782 0.6415
Ir 0.7500 0.1218 0.3585
Ir 0.7500 0.6815 0.0237

=====

Least stable structure: b

=====

--- a ---
Below is a geometry-optimized Tc3Ir2 structure, with properties calculated at the PBE level.

Results
Spin magnetization = 0.00 μB per formula unit
Density of states at the Fermi level = 0.806 states/eV per atom
SG = Fdd2 (43)

abc: 7.1675 4.7720 7.5894
angles: 69.23 61.82 41.32
Atoms (fractional coordinates):
Tc 0.9984 0.0000 0.0000
Tc 0.7484 0.5000 0.5000
Tc 0.2274 0.3705 0.3149
Tc 0.3479 0.1295 0.8149
Tc 0.9128 0.6295 0.6851
Tc 0.2923 0.8705 0.1851
Ir 0.6647 0.1545 0.3776
Ir 0.1968 0.8455 0.6224
Ir 0.7923 0.6545 0.1224
Ir 0.5692 0.3455 0.8776

=====

--- b ---
Below is a geometry-optimized Tc3Ir2 structure, with properties calculated at the PBE level.

Results
Spin magnetization = 0.00 μB per formula unit
Density of states at the Fermi level = 0.803 states/eV per atom
SG = Fdd2 (43)

abc: 8.1147 7.0489 5.2415
angles: 81.19 59.14 39.67
Atoms (fractional coordinates):
Ir 0.7109 0.8805 0.3559
Ir 0.0528 0.3559 0.8805
Ir 0.3695 0.5391 0.1972
Ir 0.8941 0.1972 0.5391
Tc 0.9390 0.0610 0.0610
Tc 0.3424 0.4540 0.7486
Tc 0.7960 0.9076 0.7950
Tc 0.1890 0.3110 0.3110
Tc 0.4550 0.7486 0.4540
Tc 0.5014 0.7950 0.9076

=====

Least stable structure: a

=====

--- a ---
Below is a geometry-optimized TcIr structure, with properties calculated at the PBE level.

Results
Spin magnetization = 0.00 μB per formula unit
Density of states at the Fermi level = 0.684 states/eV per atom
SG = Cm (8)

abc: 2.7468 5.1765 6.5015
angles: 76.76 90.00 105.39
Atoms (fractional coordinates):
Tc 0.0536 0.1071 0.3884
Tc 0.6666 0.3333 0.6676
Tc 0.7237 0.4475 0.0553
Ir 0.3297 0.6595 0.3356
Ir 0.0044 0.0088 0.9988
Ir 0.3886 0.7772 0.7210

=====

--- b ---
Below is a geometry-optimized TcIr structure, with properties calculated at the PBE level.

Results
Spin magnetization = 0.00 μB per formula unit
Density of states at the Fermi level = 0.732 states/eV per atom
SG = C2/m (12)

abc: 4.7977 5.1829 2.7454
angles: 74.64 90.00 117.67
Atoms (fractional coordinates):
Ir 0.0862 0.5035 0.2483
Ir 0.9972 0.9965 0.0017
Tc 0.5010 0.9998 0.5001
Tc 0.5824 0.5002 0.7499

=====

Least stable structure: b

=====

--- a ---
Below is a geometry-optimized TcIr structure, with properties calculated at the PBE level.

Results
Spin magnetization = 0.00 μB per formula unit
Density of states at the Fermi level = 1.281 states/eV per atom
SG = P2_13 (198)

abc: 4.9370 4.9370 4.9370
angles: 90.00 90.00 90.00
Atoms (fractional coordinates):
Tc 0.1008 0.1008 0.1008
Tc 0.6008 0.3992 0.8992
Tc 0.3992 0.8992 0.6008
Tc 0.8992 0.6008 0.3992
Ir 0.0996 0.5996 0.9004
Ir 0.5996 0.9004 0.0996
Ir 0.9004 0.0996 0.5996
Ir 0.4004 0.4004 0.4004

=====

--- b ---
Below is a geometry-optimized TcIr structure, with properties calculated at the PBE level.

Results
Spin magnetization = 0.00 μB per formula unit
Density of states at the Fermi level = 1.040 states/eV per atom
SG = R-3m (166)

abc: 4.6588 4.6588 4.6588
angles: 54.68 54.68 54.68
Atoms (fractional coordinates):
Tc 0.6670 0.6670 0.6670
Tc 0.3330 0.3330 0.3330
Ir 0.8893 0.8893 0.8893
Ir 0.1107 0.1107 0.1107

=====

Least stable structure: b

=====

--- a ---
Below is a geometry-optimized TcIr structure, with properties calculated at the PBE level.

Results
Spin magnetization = 0.00 μB per formula unit
Density of states at the Fermi level = 1.051 states/eV per atom
SG = P4/nmm (129)

abc: 2.7366 2.7366 7.8196
angles: 90.00 90.00 90.00
Atoms (fractional coordinates):
Tc 0.2500 0.2500 0.6338
Tc 0.7500 0.7500 0.3662
Ir 0.2500 0.2500 0.1351
Ir 0.7500 0.7500 0.8649

=====

--- b ---
Below is a geometry-optimized TcIr structure, with properties calculated at the PBE level.

Results
Spin magnetization = 0.00 μB per formula unit
Density of states at the Fermi level = 1.568 states/eV per atom
SG = P4/nmm (129)

abc: 3.2873 3.2873 5.5465
angles: 90.00 90.00 90.00
Atoms (fractional coordinates):
Tc 0.5000 0.5000 0.7572
Tc 0.0000 0.0000 0.4928
Ir 0.5000 0.5000 0.2411
Ir 0.0000 0.0000 0.0089

=====

Least stable structure: b